La2Sm4Pb3O2 | PBE-GGA | relaxed

## Properties
The value obtained for the total magnetization is 0.0 Bohr magnetons per cell. Its crystal system is tetragonal. Its symmetry is I4/mmm. For the formation energy (no corrections), the calculation gives -1.4179 eV/atom.

```
La2Sm4Pb3O2
1.0
4.829 0.000 0.000
0.000 4.829 0.000
-2.414 -2.414 13.166
Pb Sm La O
3 4 2 2
direct
0.176 0.176 0.352
0.000 0.000 0.000
0.824 0.824 0.648
0.582 0.082 0.163
0.418 0.918 0.837
0.918 0.418 0.837
0.082 0.582 0.163
0.307 0.307 0.615
0.693 0.693 0.385
0.598 0.598 0.196
0.402 0.402 0.804
```

TePH | PBE-GGA | relaxed

## Properties
Its distance to the lowest polymorph of the same formula is 0.069 eV per atom. The value obtained for the total magnetization is 0.0 Bohr magnetons per cell. Its crystal system is triclinic. Its symmetry is P1.

```
TePH
1.0
3.180 -0.056 0.001
-0.187 5.456 0.071
-1.404 -1.590 8.168
H P Te
2 2 2
direct
0.689 0.920 0.962
0.753 0.701 0.159
0.675 0.666 0.984
0.104 0.443 0.868
0.390 0.221 0.386
0.444 0.771 0.527
```

Al2HgPt | PBE-GGA | relaxed

## Properties
The value obtained for the total magnetization is 0.0 Bohr magnetons per cell. Its crystal system is orthorhombic. The value obtained for the calculated formation energy is -1.31 eV/f.u. Its symmetry is Pmm2.

```
Al2HgPt
1.0
-3.217 -0.621 0.968
0.049 -3.210 -1.895
1.830 -2.584 4.425
Hg Pt Al
1 1 2
direct
0.000 0.000 0.470
0.500 0.500 0.806
0.500 0.500 0.262
0.000 0.000 0.962
```

Ac2MgGePb | PBE-GGA | relaxed

## Properties
The value obtained for the total magnetization is 0.0 Bohr magnetons per cell. Its crystal system is monoclinic. The value obtained for the calculated formation energy is -2.60 eV/f.u. Its symmetry is P2_1/m.

```
Ac2MgGePb
1.0
-2.893 -3.007 -2.651
1.873 -6.062 4.832
-6.661 2.821 4.069
Ac Ge Pb Mg
4 2 2 2
direct
0.250 0.245 0.978
0.750 0.861 0.568
0.750 0.755 0.022
0.250 0.139 0.432
0.750 0.122 0.200
0.250 0.878 0.800
0.250 0.642 0.289
0.750 0.358 0.711
0.750 0.443 0.347
0.250 0.557 0.653
```

La2TcPdRu | PBE-GGA | relaxed

## Properties
The value obtained for the total magnetization is 3.6 Bohr magnetons per cell. Its crystal system is tetragonal. The value obtained for the calculated formation energy is 4.66 eV/f.u. Its symmetry is P4/mmm.

```
La2TcPdRu
1.0
5.508 0.000 0.000
0.000 4.733 0.000
0.000 0.000 5.508
Pd Ru La Tc
1 1 2 1
direct
0.000 0.000 0.000
0.000 0.500 0.000
0.000 0.000 0.500
0.500 0.000 0.000
0.500 0.500 0.500
```

Mo12H5N3 | PBE-GGA | relaxed

## Properties
The value obtained for the total magnetization is 0.0 Bohr magnetons per cell. Its crystal system is cubic. For the total energy, the calculation gives -8.25 eV/atom. Its symmetry is Ia-3d.

```
Mo12H5N3
1.0
10.500 0.000 0.000
-3.500 9.899 0.000
-3.500 -4.950 8.573
H N Mo
20 12 48
direct
0.125 0.375 0.250
0.250 0.875 0.125
0.500 0.000 0.000
0.875 0.625 0.750
0.500 0.000 0.500
0.500 0.500 0.000
0.875 0.250 0.625
0.250 0.375 0.625
0.375 0.250 0.125
0.125 0.750 0.375
0.500 0.500 0.500
0.375 0.125 0.750
0.000 0.000 0.000
0.625 0.750 0.875
0.750 0.125 0.875
0.000 0.500 0.500
0.000 0.000 0.500
0.750 0.625 0.375
0.000 0.500 0.000
0.625 0.875 0.250
0.125 0.875 0.750
0.750 0.875 0.625
0.375 0.750 0.625
0.250 0.125 0.375
0.625 0.375 0.750
0.625 0.250 0.375
0.750 0.375 0.125
0.875 0.125 0.250
0.125 0.250 0.875
0.375 0.625 0.250
0.250 0.625 0.875
0.875 0.750 0.125
0.966 0.379 0.281
0.686 0.219 0.599
0.401 0.121 0.587
0.099 0.186 0.219
0.034 0.621 0.719
0.879 0.599 0.913
0.587 0.966 0.686
0.719 0.121 0.034
0.413 0.034 0.314
0.401 0.281 0.314
0.219 0.534 0.621
0.379 0.966 0.781
0.781 0.314 0.901
0.099 0.913 0.379
0.466 0.781 0.879
0.913 0.814 0.534
0.379 0.413 0.099
0.186 0.087 0.966
0.599 0.879 0.413
0.281 0.401 0.814
0.814 0.901 0.281
0.781 0.466 0.379
0.879 0.281 0.466
0.087 0.901 0.121
0.621 0.034 0.219
0.186 0.099 0.719
0.413 0.379 0.599
0.599 0.719 0.686
0.966 0.587 0.186
0.087 0.186 0.466
0.314 0.534 0.413
0.719 0.599 0.186
0.901 0.087 0.621
0.901 0.814 0.781
0.121 0.401 0.087
0.314 0.781 0.401
0.121 0.719 0.534
0.587 0.621 0.401
0.466 0.686 0.087
0.534 0.219 0.121
0.814 0.913 0.034
0.034 0.413 0.814
0.686 0.466 0.587
0.281 0.879 0.966
0.913 0.099 0.879
0.621 0.587 0.901
0.219 0.686 0.099
0.534 0.314 0.913
```

YSiIr2 | PBE-GGA | relaxed

## Properties
The value obtained for the total magnetization is 0.0 Bohr magnetons per cell. Its crystal system is tetragonal. Its symmetry is P4/nmm. For the formation energy (no corrections), the calculation gives -0.7798 eV/atom.

```
YSiIr2
1.0
3.967 0.000 0.000
0.000 3.967 0.000
0.000 0.000 9.302
Ir Y Si
4 2 2
direct
0.000 0.500 0.106
0.500 0.500 0.500
0.500 0.000 0.894
0.000 0.000 0.500
0.000 0.500 0.789
0.500 0.000 0.211
0.500 0.000 0.646
0.000 0.500 0.354
```

Mg2BiSbPd4 | PBE-GGA | relaxed

## Properties
The value obtained for the total magnetization is 0.0 Bohr magnetons per cell. Its crystal system is trigonal. Its symmetry is R-3m. For the formation energy (no corrections), the calculation gives -0.5432 eV/atom.

```
Mg2BiSbPd4
1.0
-3.859 0.800 -2.510
-0.370 -1.720 -4.328
-4.575 -6.726 0.542
Sb Pd Mg Bi
1 4 2 1
direct
0.500 0.500 0.500
0.870 0.870 0.389
0.620 0.620 0.140
0.380 0.380 0.860
0.130 0.130 0.611
0.250 0.250 0.250
0.750 0.750 0.750
0.000 0.000 0.000
```

PrCd2Ag10 | PBE-GGA | relaxed

## Properties
The value obtained for the total magnetization is 0.0 Bohr magnetons per cell. Its crystal system is orthorhombic. The value obtained for the calculated formation energy is -0.75 eV/f.u. Its symmetry is Fmmm.

```
PrCd2Ag10
1.0
5.568 0.000 0.000
2.784 6.976 0.000
2.784 0.000 6.747
Cd Ag Pr
2 10 1
direct
0.000 0.500 0.000
0.500 0.500 0.000
0.352 0.654 0.642
0.286 0.212 0.215
0.000 0.000 0.500
0.498 0.788 0.215
0.714 0.788 0.785
0.648 0.346 0.358
0.006 0.346 0.642
0.502 0.212 0.785
0.500 0.000 0.500
0.994 0.654 0.358
0.000 0.000 0.000
```

Ho2NiAu | PBE-GGA | relaxed

## Properties
The value obtained for the total magnetization is 0.0 Bohr magnetons per cell. Its crystal system is tetragonal. The value obtained for the calculated formation energy is -2.51 eV/f.u. Its symmetry is P4/mmm.

```
Ho2NiAu
1.0
3.461 0.000 0.000
0.000 3.461 0.000
0.000 0.000 7.045
Ho Au Ni
2 1 1
direct
0.000 0.000 0.234
0.000 0.000 0.766
0.500 0.500 0.500
0.500 0.500 0.000
```

LiAcGaCu2 | PBE-GGA | relaxed

## Properties
The value obtained for the total magnetization is 0.0 Bohr magnetons per cell. Its crystal system is tetragonal. The value obtained for the calculated formation energy is -1.25 eV/f.u. Its symmetry is I-4m2.

```
LiAcGaCu2
1.0
4.224 0.000 0.000
0.000 4.224 0.000
-2.112 -2.112 5.556
Ga Cu Ac Li
1 2 1 1
direct
0.250 0.750 0.500
0.384 0.384 0.768
0.616 0.616 0.232
0.000 0.000 0.000
0.750 0.250 0.500
```

LaDy6Ho2 | PBE-GGA | relaxed

## Properties
Its distance to the lowest polymorph of the same formula is 0.000 eV per atom. The value obtained for the total magnetization is 0.0 Bohr magnetons per cell. Its crystal system is triclinic. The value obtained for the calculated formation energy is 0.19 eV/f.u. Its symmetry is P-1.

```
LaDy6Ho2
1.0
-3.294 0.553 -1.258
3.290 4.835 -6.469
-4.171 -12.100 0.544
Dy Ho La
6 2 1
direct
0.112 0.441 0.776
0.221 0.892 0.556
0.668 0.662 0.663
0.888 0.559 0.224
0.332 0.338 0.337
0.779 0.108 0.444
0.444 0.775 0.112
0.556 0.225 0.888
0.000 0.000 0.000
```

Which value of total magnetization does entry 4 give? 0.0 Bohr magnetons per cell

Please write out number 5 again, unchanged.
La2TcPdRu | PBE-GGA | relaxed

## Properties
The value obtained for the total magnetization is 3.6 Bohr magnetons per cell. Its crystal system is tetragonal. The value obtained for the calculated formation energy is 4.66 eV/f.u. Its symmetry is P4/mmm.

```
La2TcPdRu
1.0
5.508 0.000 0.000
0.000 4.733 0.000
0.000 0.000 5.508
Pd Ru La Tc
1 1 2 1
direct
0.000 0.000 0.000
0.000 0.500 0.000
0.000 0.000 0.500
0.500 0.000 0.000
0.500 0.500 0.500
```